Entry 1:
## Y2ZrSc (PBE)

Data for crystalline Y2ZrSc at its relaxed geometry.

Results
Distance to the lowest polymorph of the same formula = 40 meV/atom
V = 109.5 Å³/cell
Density = 4.76 g/cm3
Energy of formation = 0.09 eV per atom

Cell: 5.833 5.833 5.833 Å, 131.34 131.39 71.24°
Atoms (fractional coordinates):
Sc (0.250, 0.750, 0.500)
Y (0.000, 0.000, 0.000)
Y (0.500, 0.500, 0.000)
Zr (0.750, 0.250, 0.500)

Entry 2:
## YZrSc14 (PBE)

Data for crystalline YZrSc14 at its relaxed geometry.

Results
V = 395.2 Å³/cell
Density = 3.40 g/cm3
Energy of formation = 0.05 eV per atom

Cell: 6.568 6.568 9.162 Å, 90.00 90.00 90.05°
Atoms (fractional coordinates):
Y (0.375, 0.625, 0.000)
Zr (0.875, 0.125, 0.000)
Sc (0.375, 0.625, 0.500)
Sc (0.875, 0.125, 0.500)
Sc (0.875, 0.625, 0.000)
Sc (0.875, 0.625, 0.500)
Sc (0.375, 0.125, 0.000)
Sc (0.375, 0.125, 0.500)
Sc (0.631, 0.881, 0.751)
Sc (0.631, 0.881, 0.249)
Sc (0.119, 0.369, 0.751)
Sc (0.119, 0.369, 0.249)
Sc (0.119, 0.881, 0.751)
Sc (0.119, 0.881, 0.249)
Sc (0.631, 0.369, 0.751)
Sc (0.631, 0.369, 0.249)

Entry 3:
## YZr4Sc4 (PBE)

Data for crystalline YZr4Sc4 at its relaxed geometry.

Results
V = 444.4 Å³/cell
Density = 4.73 g/cm3
Energy of formation = 0.09 eV per atom

Cell: 10.302 10.302 9.999 Å, 112.12 67.88 152.98°
Atoms (fractional coordinates):
Y (0.250, 0.250, 0.750)
Y (0.750, 0.750, 0.250)
Zr (0.038, 0.462, 0.680)
Zr (0.538, 0.962, 0.180)
Zr (0.197, 0.303, 0.493)
Zr (0.303, 0.197, 0.007)
Zr (0.803, 0.697, 0.507)
Zr (0.697, 0.803, 0.993)
Zr (0.962, 0.538, 0.320)
Zr (0.462, 0.038, 0.820)
Sc (0.419, 0.081, 0.529)
Sc (0.919, 0.581, 0.029)
Sc (0.633, 0.867, 0.729)
Sc (0.133, 0.367, 0.229)
Sc (0.867, 0.633, 0.771)
Sc (0.367, 0.133, 0.271)
Sc (0.081, 0.419, 0.971)
Sc (0.581, 0.919, 0.471)

Entry 4:
## YZr2Sc (PBE)

Data for crystalline YZr2Sc at its relaxed geometry.

Results
Distance to the lowest polymorph of the same formula = 58 meV/atom
V = 100.7 Å³/cell
Density = 5.22 g/cm3
Energy of formation = 0.09 eV per atom

Cell: 3.256 4.642 6.660 Å, 90.00 90.00 90.00°
Atoms (fractional coordinates):
Sc (0.500, 0.500, 0.250)
Y (0.500, 0.500, 0.750)
Zr (0.000, 0.000, 0.020)
Zr (0.000, 0.000, 0.480)

Entry 5:
## Yb6Sc (PBE)

Data for crystalline Yb6Sc at its relaxed geometry.

Results
V = 387.8 Å³/cell
Density = 4.64 g/cm3
Energy of formation = 1.25 eV per atom

Cell: 7.957 7.957 7.957 Å, 109.47 109.47 109.47°
Atoms (fractional coordinates):
Yb (0.250, 0.750, 0.500)
Yb (0.500, 0.750, 0.250)
Yb (0.250, 0.500, 0.750)
Yb (0.750, 0.250, 0.500)
Yb (0.500, 0.250, 0.750)
Yb (0.750, 0.500, 0.250)
Sc (0.000, 0.000, 0.000)

Entry 6:
## Sc4Zn3 (PBE)

Data for crystalline Sc4Zn3 at its relaxed geometry.

Results
Distance to the lowest polymorph of the same formula = 0 meV/atom
V = 139.7 Å³/cell
Density = 4.47 g/cm3
Energy of formation = -0.19 eV per atom

Cell: 14.164 14.164 14.164 Å, 167.19 167.19 18.16°
Atoms (fractional coordinates):
Sc (0.846, 0.846, 0.000)
Sc (0.567, 0.567, 0.000)
Sc (0.433, 0.433, 0.000)
Sc (0.154, 0.154, 0.000)
Zn (0.000, 0.000, 0.000)
Zn (0.723, 0.723, 0.000)
Zn (0.277, 0.277, 0.000)